1.
# UTlSn GGA-PBE optimized geometry
data_UTlSn
_cell_length_a 5.102
_cell_length_b 5.102
_cell_length_c 5.102
_cell_angle_alpha 60.00
_cell_angle_beta 60.00
_cell_angle_gamma 60.00
_symmetry_space_group_name_H-M 'P 1'
_symmetry_Int_Tables_number 1
loop_
_symmetry_equiv_pos_as_xyz
'x,y,z'
loop_
_atom_site_label
_atom_site_type_symbol
_atom_site_fract_x
_atom_site_fract_y
_atom_site_fract_z
U1 U 0.750 0.750 0.750
Tl1 Tl 0.000 0.000 0.000
Sn1 Sn 0.250 0.250 0.250
# energy: -5.25 eV per atom
# magnetic moment: 3.3 μB per formula unit
# SG: F-43m, No. 216
# excess energy over the best structure of this formula in the dataset: 129 meV/atom

=====

2.
# UTlSn GGA-PBE optimized geometry
data_UTlSn
_cell_length_a 5.158
_cell_length_b 5.158
_cell_length_c 5.158
_cell_angle_alpha 60.00
_cell_angle_beta 60.00
_cell_angle_gamma 60.00
_symmetry_space_group_name_H-M 'P 1'
_symmetry_Int_Tables_number 1
loop_
_symmetry_equiv_pos_as_xyz
'x,y,z'
loop_
_atom_site_label
_atom_site_type_symbol
_atom_site_fract_x
_atom_site_fract_y
_atom_site_fract_z
Sn1 Sn 0.250 0.250 0.250
U1 U 0.000 0.000 0.000
Tl1 Tl 0.750 0.750 0.750
# energy: -5.38 eV per atom
# magnetic moment: 3.0 μB per formula unit
# SG: F-43m, No. 216
# excess energy over the best structure of this formula in the dataset: 0 meV/atom